No. 1
# Zn2FeCu (PBE, optimized geometry)
# - calculated formation energy (eV/atom) = 0.026
data_Zn2FeCu
_symmetry_space_group_name_H-M 'P 4 m m'
_symmetry_Int_Tables_number 99
_cell_length_a 2.635
_cell_length_b 2.635
_cell_length_c 7.549
_cell_angle_alpha 90.00
_cell_angle_beta 90.00
_cell_angle_gamma 90.00
loop_
_symmetry_equiv_pos_as_xyz
'x,y,z'
'-y,x,z'
'-x,-y,z'
'y,-x,z'
'-x,y,z'
'y,x,z'
'x,-y,z'
'-y,-x,z'
loop_
_atom_site_label
_atom_site_fract_x
_atom_site_fract_y
_atom_site_fract_z
_atom_site_occupancy
Zn1 0.000 0.000 0.000 1
Zn2 0.500 0.500 0.275 1
Fe1 0.500 0.500 0.755 1
Cu1 0.000 0.000 0.519 1

=====

No. 2
# Sc2CrOs (PBE, optimized geometry)
# - polymorph energy (0 for the lowest one) (meV/atom) = 329.9
# - calculated formation energy (eV/atom) = 0.185
data_Sc2CrOs
_symmetry_space_group_name_H-M 'P m m 2'
_symmetry_Int_Tables_number 25
_cell_length_a 2.962
_cell_length_b 4.282
_cell_length_c 5.560
_cell_angle_alpha 90.00
_cell_angle_beta 90.00
_cell_angle_gamma 90.00
loop_
_symmetry_equiv_pos_as_xyz
'x,y,z'
'-x,-y,z'
'-x,y,z'
'x,-y,z'
loop_
_atom_site_label
_atom_site_fract_x
_atom_site_fract_y
_atom_site_fract_z
_atom_site_occupancy
Sc1 0.000 0.000 0.000 1
Sc2 0.500 0.500 0.310 1
Cr1 0.000 0.000 0.540 1
Os1 0.500 0.500 0.790 1

=====

No. 3
# PmEr2In3Se6 (PBE, optimized geometry)
# - formation energy (no corrections) (meV per atom) = -1293
data_PmEr2In3Se6
_symmetry_space_group_name_H-M 'C 1 2/m 1'
_symmetry_Int_Tables_number 12
_cell_length_a 7.214
_cell_length_b 12.490
_cell_length_c 8.107
_cell_angle_alpha 90.00
_cell_angle_beta 107.24
_cell_angle_gamma 90.00
loop_
_symmetry_equiv_pos_as_xyz
'x,y,z'
'-x,-y,-z'
'-x,y,-z'
'x,-y,z'
'x+1/2,y+1/2,z'
'-x+1/2,-y+1/2,-z'
'-x+1/2,y+1/2,-z'
'x+1/2,-y+1/2,z'
loop_
_atom_site_label
_atom_site_fract_x
_atom_site_fract_y
_atom_site_fract_z
_atom_site_occupancy
Pm1 0.000 0.000 0.000 1
Er1 0.000 0.333 0.000 1
In1 0.000 0.165 0.500 1
In2 0.000 0.500 0.500 1
Se1 0.227 0.500 0.207 1
Se2 0.241 0.171 0.210 1

=====

No. 4
# Pa2BeSn (PBE, optimized geometry)
# - polymorph energy (0 for the lowest one) (meV/atom) = 0.0
# - calculated formation energy (eV/atom) = 0.089
data_Pa2BeSn
_symmetry_space_group_name_H-M 'P 4/m m m'
_symmetry_Int_Tables_number 123
_symmetry_space_group_name_Hall '-P 4 2'
_cell_length_a 4.326
_cell_length_b 4.326
_cell_length_c 4.627
_cell_angle_alpha 90.00
_cell_angle_beta 90.00
_cell_angle_gamma 90.00
loop_
_atom_site_label
_atom_site_fract_x
_atom_site_fract_y
_atom_site_fract_z
_atom_site_occupancy
Pa1 0.000 0.500 0.000 1
Be1 0.000 0.000 0.500 1
Sn1 0.500 0.500 0.500 1